Record 1
Computed, not measured: SiP2Pb after structural relaxation at the PBE level of DFT.

Space-group type: Cmm2, No. 35
Raw total energy, eV per cell: -17.7
Formation energy without anion corrections, eV/atom: 0.57

abc: 3.2488 3.2488 8.0936
angles: 90.00 90.00 110.86
With the nearest neighbours (Å) after each atom.
Positions (direct):
P (0.0000, 0.0000, 0.0086)  2 P 2.30, 2 Si 2.43
P (0.5000, 0.5000, 0.1792)  2 P 2.30
Pb (0.0000, 0.0000, 0.4995)  2 Si 3.13, 2 P 3.18, 4 Pb 3.25
Si (0.5000, 0.5000, 0.8127)  2 P 2.43

Record 2
Computed, not measured: SiP2Pb after structural relaxation at the PBE level of DFT.

Space-group type: I-4m2, No. 119
Raw total energy, eV per cell: -17.2
Formation energy without anion corrections, eV/atom: 0.69

abc: 6.0257 6.0257 6.0257
angles: 142.51 142.51 54.06
With the nearest neighbours (Å) after each atom.
Positions (direct):
P (0.0000, 0.0000, 0.0000)  4 Pb 2.74
P (0.2500, 0.7500, 0.5000)  4 Si 2.74
Pb (0.5000, 0.5000, 0.0000)  4 P 2.74
Si (0.7500, 0.2500, 0.5000)  4 P 2.74

Record 3
Computed, not measured: Si2PPbW after structural relaxation at the PBE level of DFT.

Space-group type: P4/mmm, No. 123
Raw total energy, eV per cell: -27.9
Formation energy without anion corrections, eV/atom: 1.00

abc: 4.7624 5.5071 4.7624
angles: 90.00 90.00 90.00
With the nearest neighbours (Å) after each atom.
Positions (direct):
Pb (0.0000, 0.5000, 0.0000)  2 W 2.75
P (0.5000, 0.5000, 0.5000)  4 Pb 3.37, 8 Si 3.64
Si (0.0000, 0.0000, 0.5000)  2 W 2.38
Si (0.5000, 0.0000, 0.0000)  2 W 2.38
W (0.0000, 0.0000, 0.0000)  4 Si 2.38

Record 4
Computed, not measured: Y2SiPPb after structural relaxation at the PBE level of DFT.

Space-group type: P4/mmm, No. 123
Raw total energy, eV per cell: -28.0
Formation energy without anion corrections, eV/atom: -0.11

abc: 5.4833 4.4545 5.4833
angles: 90.00 90.00 90.00
With the nearest neighbours (Å) after each atom.
Positions (direct):
Pb (0.5000, 0.5000, 0.5000)  8 Y 3.53, 4 P 3.88
Y (0.0000, 0.0000, 0.5000)  2 Si 2.74
Y (0.5000, 0.0000, 0.0000)  2 Si 2.74
Si (0.0000, 0.0000, 0.0000)  2 P 2.23
P (0.0000, 0.5000, 0.0000)  2 Si 2.23

Record 5
Computed, not measured: Sm4PPb2 after structural relaxation at the PBE level of DFT.

Space-group type: P2_1/m, No. 11
E_form, kcal/mol of atoms: -14.6
Raw total energy, eV per cell: -72.3

abc: 6.8089 6.5963 10.0274
angles: 90.00 111.05 90.00
With the nearest neighbours (Å) after each atom.
Positions (direct):
Sm (0.4908, 0.4997, 0.2519)  1 P 2.78
Sm (0.0612, 0.7500, 0.8714)  1 P 2.74
Sm (0.9388, 0.2500, 0.1286)  1 P 2.74
Sm (0.4908, 0.0003, 0.2519)  1 P 2.78
Sm (0.9155, 0.2500, 0.5811)  1 P 2.76
Sm (0.5092, 0.9997, 0.7481)  1 P 2.78
Sm (0.5092, 0.5003, 0.7481)  1 P 2.78
Sm (0.0845, 0.7500, 0.4189)  1 P 2.76
P (0.1388, 0.7500, 0.1592)  4 Sm 2.74-2.78, 1 Pb 2.80
P (0.8612, 0.2500, 0.8408)  4 Sm 2.74-2.78, 1 Pb 2.80
Pb (0.6984, 0.7500, 0.0535)  1 P 2.80
Pb (0.3016, 0.2500, 0.9465)  1 P 2.80
Pb (0.2881, 0.2500, 0.4510)  8 Sm 3.24-3.55
Pb (0.7119, 0.7500, 0.5490)  8 Sm 3.24-3.55

Record 6
Computed, not measured: SmP2Pb after structural relaxation at the PBE level of DFT.

Space-group type: R-3m, No. 166
E_form, kcal/mol of atoms: -3.7
Raw total energy, eV per cell: -19.9

abc: 4.3944 4.3944 8.1502
angles: 74.36 74.36 60.00
With the nearest neighbours (Å) after each atom.
Positions (direct):
Pb (0.0000, 0.0000, 0.0000)  2 P 2.54
P (0.1093, 0.1093, 0.6720)  1 Pb 2.54
P (0.8907, 0.8907, 0.3280)  1 Pb 2.54
Sm (0.5000, 0.5000, 0.5000)  6 P 2.87

Record 7
Computed, not measured: Sm4PPb2 after structural relaxation at the PBE level of DFT.

Space-group type: I4/mmm, No. 139
E_form, kcal/mol of atoms: -15.1
Raw total energy, eV per cell: -36.3

abc: 5.2641 5.2641 9.0619
angles: 106.88 106.88 90.00
With the nearest neighbours (Å) after each atom.
Positions (direct):
Pb (0.6361, 0.6361, 0.2723)  5 Sm 3.22-3.46
Pb (0.3639, 0.3639, 0.7277)  5 Sm 3.22-3.46
P (0.0000, 0.0000, 0.0000)  6 Sm 2.63-2.79
Sm (0.8310, 0.8310, 0.6620)  1 P 2.79
Sm (0.1690, 0.1690, 0.3380)  1 P 2.79
Sm (0.0000, 0.5000, 0.0000)  2 P 2.63
Sm (0.5000, 0.0000, 0.0000)  2 P 2.63

Record 8
Computed, not measured: SnPPb after structural relaxation at the PBE level of DFT.

Space-group type: P-1, No. 2
E_form, kcal/mol of atoms: 1.5
Raw total energy, eV per cell: -25.9

abc: 3.8457 6.7540 7.0582
angles: 112.45 105.54 90.05
With the nearest neighbours (Å) after each atom.
Positions (direct):
Sn (0.5701, 0.2328, 0.1438)  2 P 2.66-2.67, 1 Sn 2.97
Sn (0.4299, 0.7672, 0.8562)  2 P 2.66-2.67, 1 Sn 2.97
P (0.0406, 0.6784, 0.0801)  1 P 2.22
P (0.9594, 0.3216, 0.9199)  1 P 2.22
Pb (0.2784, 0.2336, 0.5568)  2 P 2.99-3.00
Pb (0.7216, 0.7664, 0.4432)  2 P 2.99-3.00

Record 9
Computed, not measured: SnP2Pb after structural relaxation at the PBE level of DFT.

Space-group type: R3m, No. 160
E_form, kcal/mol of atoms: 2.7
Raw total energy, eV per cell: -18.1

abc: 3.9184 3.9184 7.3671
angles: 74.58 74.58 60.00
With the nearest neighbours (Å) after each atom.
Positions (direct):
Sn (0.6685, 0.6685, 0.9946)  6 P 2.71-2.76
P (0.0728, 0.0728, 0.7817)  3 Sn 2.71, 3 Pb 2.99
P (0.2597, 0.2597, 0.2210)  3 Sn 2.76, 3 Pb 3.00
Pb (0.4991, 0.4991, 0.5026)  6 P 2.99-3.00

Record 10
Computed, not measured: SnPPb2 after structural relaxation at the PBE level of DFT.

Space-group type: R-3m, No. 166
E_form, kcal/mol of atoms: 5.7
Raw total energy, eV per cell: -15.8

abc: 3.7746 3.7746 10.0885
angles: 79.22 79.22 60.00
With the nearest neighbours (Å) after each atom.
Positions (direct):
Pb (0.1068, 0.1068, 0.6796)  3 P 2.81
Pb (0.8932, 0.8932, 0.3204)  3 P 2.81
P (0.5000, 0.5000, 0.5000)  6 Pb 2.81
Sn (0.0000, 0.0000, 0.0000)  2 Pb 3.16

Record 11
Computed, not measured: SnPPb after structural relaxation at the PBE level of DFT.

Space-group type: R3m, No. 160
E_form, kcal/mol of atoms: 1.7
Raw total energy, eV per cell: -12.9

abc: 3.8052 3.8052 7.1925
angles: 74.66 74.66 60.00
With the nearest neighbours (Å) after each atom.
Positions (direct):
Sn (0.7839, 0.7839, 0.6483)  3 P 2.60
P (0.3832, 0.3832, 0.8505)  3 Sn 2.60
Pb (0.9399, 0.9399, 0.1804)  3 P 3.15, 1 Sn 3.20

Record 12
Computed, not measured: SnPPb after structural relaxation at the PBE level of DFT.

Space-group type: Cm, No. 8
E_form, kcal/mol of atoms: 1.4
Raw total energy, eV per cell: -25.9

abc: 6.6320 3.8613 6.6712
angles: 90.00 109.35 90.00
With the nearest neighbours (Å) after each atom.
Positions (direct):
Sn (0.9632, 0.0000, 0.0279)  3 P 2.66-2.67
Sn (0.9632, 0.5000, 0.5279)  3 P 2.66-2.67
P (0.1978, 0.0000, 0.7723)  3 Sn 2.66-2.67
P (0.1978, 0.5000, 0.2723)  3 Sn 2.66-2.67
Pb (0.5321, 0.0000, 0.2268)  3 P 3.03-3.11
Pb (0.5321, 0.5000, 0.7268)  3 P 3.03-3.11